Record 1
VASP calculation (PBE-GGA) on crystalline LiAsRh at its relaxed geometry.

The structure in CIF format:
```
data_LiAsRh
_symmetry_space_group_name_H-M 'P 1'
_symmetry_Int_Tables_number 1
_cell_length_a 3.078
_cell_length_b 3.078
_cell_length_c 6.025
_cell_angle_alpha 90.00
_cell_angle_beta 90.00
_cell_angle_gamma 120.00
loop_
_symmetry_equiv_pos_as_xyz
'x,y,z'
loop_
_atom_site_label
_atom_site_type_symbol
_atom_site_fract_x
_atom_site_fract_y
_atom_site_fract_z
_atom_site_occupancy
As1 As 0.000 0.000 0.968 1
Rh1 Rh 0.333 0.667 0.692 1
Li1 Li 0.667 0.333 0.340 1
```

## Properties
For the magnetization, the calculation gives 0.00 μB/f.u. As for the density of states at the Fermi level: 2.671 states/eV per cell. As for the formation energy: -237 meV/atom.

---

Record 2
VASP calculation (PBE-GGA) on crystalline LiAsRh2 at its relaxed geometry.

The structure in CIF format:
```
data_LiAsRh2
_symmetry_space_group_name_H-M 'P 1'
_symmetry_Int_Tables_number 1
_cell_length_a 4.703
_cell_length_b 4.703
_cell_length_c 4.327
_cell_angle_alpha 74.67
_cell_angle_beta 74.67
_cell_angle_gamma 36.46
loop_
_symmetry_equiv_pos_as_xyz
'x,y,z'
loop_
_atom_site_label
_atom_site_type_symbol
_atom_site_fract_x
_atom_site_fract_y
_atom_site_fract_z
_atom_site_occupancy
Rh1 Rh 0.997 0.997 0.069 1
Li1 Li 0.251 0.251 0.193 1
Rh2 Rh 0.758 0.758 0.680 1
As1 As 0.494 0.494 0.559 1
```

## Properties
For the magnetization, the calculation gives 0.00 μB/f.u. As for the density of states at the Fermi level: 2.869 states/eV per cell. As for the formation energy: -383 meV/atom.

---

Record 3
VASP calculation (PBE-GGA) on crystalline Li2AsRh at its relaxed geometry.

The structure in CIF format:
```
data_Li2AsRh
_symmetry_space_group_name_H-M 'P 1'
_symmetry_Int_Tables_number 1
_cell_length_a 2.766
_cell_length_b 2.766
_cell_length_c 8.658
_cell_angle_alpha 90.00
_cell_angle_beta 90.00
_cell_angle_gamma 116.72
loop_
_symmetry_equiv_pos_as_xyz
'x,y,z'
loop_
_atom_site_label
_atom_site_type_symbol
_atom_site_fract_x
_atom_site_fract_y
_atom_site_fract_z
_atom_site_occupancy
As1 As 0.500 0.500 0.750 1
Rh1 Rh 0.500 0.500 0.250 1
Li1 Li 0.000 0.000 0.004 1
Li2 Li 0.000 0.000 0.496 1
```

## Properties
For the magnetization, the calculation gives 0.45 μB/f.u. As for the density of states at the Fermi level: 2.796 states/eV per cell. As for the formation energy: -180 meV/atom.

---

Record 4
VASP calculation (PBE-GGA) on crystalline LiAs2Rh4 at its relaxed geometry.

The structure in CIF format:
```
data_LiAs2Rh4
_symmetry_space_group_name_H-M 'P 1'
_symmetry_Int_Tables_number 1
_cell_length_a 4.129
_cell_length_b 4.129
_cell_length_c 6.921
_cell_angle_alpha 72.65
_cell_angle_beta 72.65
_cell_angle_gamma 90.00
loop_
_symmetry_equiv_pos_as_xyz
'x,y,z'
loop_
_atom_site_label
_atom_site_type_symbol
_atom_site_fract_x
_atom_site_fract_y
_atom_site_fract_z
_atom_site_occupancy
Rh1 Rh 0.000 0.500 0.000 1
As1 As 0.625 0.625 0.750 1
Rh2 Rh 0.808 0.808 0.385 1
As2 As 0.375 0.375 0.250 1
Rh3 Rh 0.192 0.192 0.615 1
Rh4 Rh 0.500 0.000 0.000 1
Li1 Li 0.000 0.000 0.000 1
```

## Properties
For the magnetization, the calculation gives 0.00 μB/f.u. As for the density of states at the Fermi level: 3.811 states/eV per cell. The excess energy over the best structure of this formula in the dataset comes out at 14.94 kcal/mol of atoms. As for the formation energy: 175 meV/atom.

---

Record 5
VASP calculation (PBE-GGA) on crystalline LiAs2Rh at its relaxed geometry.

The structure in CIF format:
```
data_LiAs2Rh
_symmetry_space_group_name_H-M 'P 1'
_symmetry_Int_Tables_number 1
_cell_length_a 4.775
_cell_length_b 4.775
_cell_length_c 4.640
_cell_angle_alpha 73.78
_cell_angle_beta 73.78
_cell_angle_gamma 39.19
loop_
_symmetry_equiv_pos_as_xyz
'x,y,z'
loop_
_atom_site_label
_atom_site_type_symbol
_atom_site_fract_x
_atom_site_fract_y
_atom_site_fract_z
_atom_site_occupancy
Li1 Li 0.517 0.517 0.426 1
As1 As 0.999 0.999 0.913 1
As2 As 0.254 0.254 0.359 1
Rh1 Rh 0.730 0.730 0.802 1
```

## Properties
For the magnetization, the calculation gives 0.00 μB/f.u. As for the density of states at the Fermi level: 1.615 states/eV per cell. The excess energy over the best structure of this formula in the dataset comes out at 2.23 kcal/mol of atoms. As for the formation energy: -303 meV/atom.

---

Record 6
VASP calculation (PBE-GGA) on crystalline LiAsRh2 at its relaxed geometry.

The structure in CIF format:
```
data_LiAsRh2
_symmetry_space_group_name_H-M 'P 1'
_symmetry_Int_Tables_number 1
_cell_length_a 8.055
_cell_length_b 8.055
_cell_length_c 8.055
_cell_angle_alpha 21.26
_cell_angle_beta 21.26
_cell_angle_gamma 21.26
loop_
_symmetry_equiv_pos_as_xyz
'x,y,z'
loop_
_atom_site_label
_atom_site_type_symbol
_atom_site_fract_x
_atom_site_fract_y
_atom_site_fract_z
_atom_site_occupancy
As1 As 0.250 0.250 0.250 1
Rh1 Rh 0.994 0.994 0.994 1
Li1 Li 0.750 0.750 0.750 1
Rh2 Rh 0.506 0.506 0.506 1
```

## Properties
For the magnetization, the calculation gives 0.00 μB/f.u. As for the density of states at the Fermi level: 3.125 states/eV per cell. As for the formation energy: -142 meV/atom.

---

Record 7
VASP calculation (PBE-GGA) on crystalline LiAs2Rh at its relaxed geometry.

The structure in CIF format:
```
data_LiAs2Rh
_symmetry_space_group_name_H-M 'P 1'
_symmetry_Int_Tables_number 1
_cell_length_a 4.258
_cell_length_b 3.711
_cell_length_c 4.168
_cell_angle_alpha 78.12
_cell_angle_beta 90.00
_cell_angle_gamma 90.00
loop_
_symmetry_equiv_pos_as_xyz
'x,y,z'
loop_
_atom_site_label
_atom_site_type_symbol
_atom_site_fract_x
_atom_site_fract_y
_atom_site_fract_z
_atom_site_occupancy
As1 As 0.500 0.082 0.322 1
Li1 Li 0.000 0.595 0.371 1
As2 As 0.000 0.144 0.902 1
Rh1 Rh 0.500 0.678 0.905 1
```

## Properties
For the magnetization, the calculation gives 0.00 μB/f.u. As for the density of states at the Fermi level: 1.842 states/eV per cell. The excess energy over the best structure of this formula in the dataset comes out at 2.65 kcal/mol of atoms. As for the formation energy: -284 meV/atom.

---

Record 8
VASP calculation (PBE-GGA) on crystalline Li3AsRh at its relaxed geometry.

The structure in CIF format:
```
data_Li3AsRh
_symmetry_space_group_name_H-M 'P 1'
_symmetry_Int_Tables_number 1
_cell_length_a 4.487
_cell_length_b 4.487
_cell_length_c 4.487
_cell_angle_alpha 90.00
_cell_angle_beta 90.00
_cell_angle_gamma 90.00
loop_
_symmetry_equiv_pos_as_xyz
'x,y,z'
loop_
_atom_site_label
_atom_site_type_symbol
_atom_site_fract_x
_atom_site_fract_y
_atom_site_fract_z
_atom_site_occupancy
Li1 Li 0.000 0.500 0.000 1
Rh1 Rh 0.000 0.000 0.000 1
As1 As 0.500 0.500 0.500 1
Li2 Li 0.000 0.000 0.500 1
Li3 Li 0.500 0.000 0.000 1
```

## Properties
For the magnetization, the calculation gives 0.00 μB/f.u. As for the density of states at the Fermi level: 5.124 states/eV per cell. The excess energy over the best structure of this formula in the dataset comes out at 2.01 kcal/mol of atoms. As for the formation energy: 354 meV/atom.

---

Record 9
VASP calculation (PBE-GGA) on crystalline Li2AsRh at its relaxed geometry.

The structure in CIF format:
```
data_Li2AsRh
_symmetry_space_group_name_H-M 'P 1'
_symmetry_Int_Tables_number 1
_cell_length_a 4.025
_cell_length_b 2.864
_cell_length_c 5.678
_cell_angle_alpha 60.10
_cell_angle_beta 90.00
_cell_angle_gamma 90.00
loop_
_symmetry_equiv_pos_as_xyz
'x,y,z'
loop_
_atom_site_label
_atom_site_type_symbol
_atom_site_fract_x
_atom_site_fract_y
_atom_site_fract_z
_atom_site_occupancy
Li1 Li 0.000 0.991 0.007 1
Li2 Li 0.000 0.509 0.493 1
Rh1 Rh 0.500 0.250 0.250 1
As1 As 0.500 0.750 0.750 1
```

## Properties
For the magnetization, the calculation gives 0.00 μB/f.u. As for the density of states at the Fermi level: 2.111 states/eV per cell. As for the formation energy: -404 meV/atom.

---

Record 10
VASP calculation (PBE-GGA) on crystalline LiAsRh2 at its relaxed geometry.

The structure in CIF format:
```
data_LiAsRh2
_symmetry_space_group_name_H-M 'P 1'
_symmetry_Int_Tables_number 1
_cell_length_a 6.986
_cell_length_b 6.986
_cell_length_c 5.624
_cell_angle_alpha 51.61
_cell_angle_beta 51.61
_cell_angle_gamma 90.00
loop_
_symmetry_equiv_pos_as_xyz
'x,y,z'
loop_
_atom_site_label
_atom_site_type_symbol
_atom_site_fract_x
_atom_site_fract_y
_atom_site_fract_z
_atom_site_occupancy
Rh1 Rh 0.375 0.321 0.750 1
Rh2 Rh 0.875 0.929 0.750 1
Li1 Li 0.500 0.500 0.000 1
As1 As 0.000 0.000 0.000 1
Li2 Li 0.250 0.750 0.500 1
Rh3 Rh 0.679 0.125 0.250 1
As2 As 0.750 0.250 0.500 1
Rh4 Rh 0.071 0.625 0.250 1
```

## Properties
For the magnetization, the calculation gives 0.00 μB/f.u. As for the density of states at the Fermi level: 0.992 states/eV per cell. As for the formation energy: -135 meV/atom.

---

Record 11
VASP calculation (PBE-GGA) on crystalline LiAs2Rh at its relaxed geometry.

The structure in CIF format:
```
data_LiAs2Rh
_symmetry_space_group_name_H-M 'P 1'
_symmetry_Int_Tables_number 1
_cell_length_a 3.035
_cell_length_b 3.035
_cell_length_c 7.009
_cell_angle_alpha 90.00
_cell_angle_beta 90.00
_cell_angle_gamma 90.01
loop_
_symmetry_equiv_pos_as_xyz
'x,y,z'
loop_
_atom_site_label
_atom_site_type_symbol
_atom_site_fract_x
_atom_site_fract_y
_atom_site_fract_z
_atom_site_occupancy
As1 As 0.000 0.000 0.974 1
Rh1 Rh 0.500 0.500 0.750 1
As2 As 0.000 0.000 0.526 1
Li1 Li 0.500 0.500 0.250 1
```

## Properties
For the magnetization, the calculation gives 0.00 μB/f.u. As for the density of states at the Fermi level: 0.677 states/eV per cell. The excess energy over the best structure of this formula in the dataset comes out at 0.95 kcal/mol of atoms. As for the formation energy: -358 meV/atom.

---

Record 12
VASP calculation (PBE-GGA) on crystalline LiAsRh2 at its relaxed geometry.

The structure in CIF format:
```
data_LiAsRh2
_symmetry_space_group_name_H-M 'P 1'
_symmetry_Int_Tables_number 1
_cell_length_a 4.837
_cell_length_b 4.837
_cell_length_c 4.837
_cell_angle_alpha 135.56
_cell_angle_beta 135.56
_cell_angle_gamma 64.66
loop_
_symmetry_equiv_pos_as_xyz
'x,y,z'
loop_
_atom_site_label
_atom_site_type_symbol
_atom_site_fract_x
_atom_site_fract_y
_atom_site_fract_z
_atom_site_occupancy
Li1 Li 0.750 0.250 0.500 1
Rh1 Rh 0.000 0.000 0.000 1
As1 As 0.500 0.500 0.000 1
Rh2 Rh 0.250 0.750 0.500 1
```

## Properties
For the magnetization, the calculation gives 0.00 μB/f.u. As for the density of states at the Fermi level: 4.007 states/eV per cell. As for the formation energy: -314 meV/atom.

---

Record 13
VASP calculation (PBE-GGA) on crystalline LiAsRh2 at its relaxed geometry.

The structure in CIF format:
```
data_LiAsRh2
_symmetry_space_group_name_H-M 'P 1'
_symmetry_Int_Tables_number 1
_cell_length_a 2.799
_cell_length_b 2.799
_cell_length_c 8.654
_cell_angle_alpha 90.00
_cell_angle_beta 90.00
_cell_angle_gamma 117.43
loop_
_symmetry_equiv_pos_as_xyz
'x,y,z'
loop_
_atom_site_label
_atom_site_type_symbol
_atom_site_fract_x
_atom_site_fract_y
_atom_site_fract_z
_atom_site_occupancy
As1 As 0.000 0.000 0.490 1
Rh1 Rh 0.000 0.000 0.996 1
Li1 Li 0.500 0.500 0.754 1
Rh2 Rh 0.500 0.500 0.260 1
```

## Properties
For the magnetization, the calculation gives 0.01 μB/f.u. As for the density of states at the Fermi level: 4.415 states/eV per cell. As for the formation energy: -1 meV/atom.

---

Record 14
VASP calculation (PBE-GGA) on crystalline LiAsRh2 at its relaxed geometry.

The structure in CIF format:
```
data_LiAsRh2
_symmetry_space_group_name_H-M 'P 1'
_symmetry_Int_Tables_number 1
_cell_length_a 4.304
_cell_length_b 4.304
_cell_length_c 4.304
_cell_angle_alpha 60.00
_cell_angle_beta 60.00
_cell_angle_gamma 60.00
loop_
_symmetry_equiv_pos_as_xyz
'x,y,z'
loop_
_atom_site_label
_atom_site_type_symbol
_atom_site_fract_x
_atom_site_fract_y
_atom_site_fract_z
_atom_site_occupancy
Rh1 Rh 0.250 0.250 0.250 1
Rh2 Rh 0.000 0.000 0.000 1
As1 As 0.500 0.500 0.500 1
Li1 Li 0.750 0.750 0.750 1
```

## Properties
For the magnetization, the calculation gives 0.00 μB/f.u. As for the density of states at the Fermi level: 4.782 states/eV per cell. As for the formation energy: -192 meV/atom.